1.
KLiBi2O: relaxed, GGA-PBE.

a b c (Å): 5.591 3.814 5.591
angles (deg): 90.00 90.00 90.00
Sites, in units of the cell vectors:
K 0.500 0.500 0.500
Bi 0.000 0.000 0.500
Bi 0.500 0.000 0.000
O 0.000 0.000 0.000
Li 0.000 0.500 0.000

## Properties
ρ (Mg/m³): 6.69
SG: P4/mmm
Formation energy without anion corrections (eV per atom): -0.4516

2.
KLiBi2P: relaxed, GGA-PBE.

a b c (Å): 6.022 4.603 6.022
angles (deg): 90.00 90.00 90.00
Sites, in units of the cell vectors:
P 0.500 0.500 0.500
K 0.000 0.000 0.000
Bi 0.000 0.000 0.500
Bi 0.500 0.000 0.000
Li 0.000 0.500 0.000

## Properties
ρ (Mg/m³): 4.92
ΔE_f (eV/f.u.): 5.928
SG: P4/mmm

3.
K2LiBi2Pb: relaxed, GGA-PBE.

a b c (Å): 7.099 7.268 9.887
angles (deg): 111.56 111.04 90.00
Sites, in units of the cell vectors:
K 0.410 0.171 0.342
K 0.590 0.829 0.658
K 0.068 0.329 0.658
K 0.932 0.671 0.342
Li 0.500 0.750 0.000
Li 0.500 0.250 0.000
Bi 0.837 0.106 0.212
Bi 0.375 0.606 0.212
Bi 0.625 0.394 0.788
Bi 0.163 0.894 0.788
Pb 0.000 0.750 0.000
Pb 0.000 0.250 0.000

## Properties
ρ (Mg/m³): 5.39
ΔE_f (eV/f.u.): -2.140
SG: Ibam

4.
KLiBiRu2: relaxed, GGA-PBE.

a b c (Å): 5.122 5.382 5.122
angles (deg): 90.00 90.00 90.00
Site moments in Bohr magnetons follow the coordinates.
Sites, in units of the cell vectors:
Ru 0.000 0.000 0.500  0.75
Ru 0.500 0.000 0.000  0.91
K 0.500 0.500 0.500  0.00
Bi 0.000 0.000 0.000  -0.05
Li 0.000 0.500 0.000  -0.01

## Properties
ρ (Mg/m³): 5.38
ΔE_f (eV/f.u.): 5.160
SG: P4/mmm

5.
KLiBiS2: relaxed, GGA-PBE.

a b c (Å): 3.937 7.526 8.595
angles (deg): 90.45 90.00 90.00
Sites, in units of the cell vectors:
K 0.000 0.500 0.750
K 0.000 0.500 0.250
Li 0.000 0.000 0.000
Li 0.000 0.000 0.500
Bi 0.500 0.000 0.250
Bi 0.500 0.000 0.750
S 0.500 0.757 0.998
S 0.500 0.243 0.502
S 0.500 0.757 0.498
S 0.500 0.243 0.002

## Properties
ρ (Mg/m³): 4.16
SG: P2/m
Formation energy without anion corrections (eV per atom): -0.7482

6.
KLi2Bi3S6: relaxed, GGA-PBE.

a b c (Å): 4.068 8.578 8.951
angles (deg): 102.50 103.13 90.00
Sites, in units of the cell vectors:
K 0.500 0.000 0.000
Li 0.836 0.719 0.671
Li 0.164 0.281 0.329
Bi 0.500 0.500 0.000
Bi 0.834 0.170 0.667
Bi 0.166 0.830 0.333
S 0.323 0.901 0.645
S 0.670 0.615 0.340
S 0.677 0.099 0.355
S 0.015 0.281 0.031
S 0.985 0.719 0.969
S 0.330 0.385 0.660

## Properties
ρ (Mg/m³): 4.88
SG: C2/m
Formation energy without anion corrections (eV per atom): -0.7308

7.
KLiBiSe3: relaxed, GGA-PBE.

a b c (Å): 4.408 9.385 9.470
angles (deg): 114.83 90.00 90.00
Sites, in units of the cell vectors:
K 0.750 0.773 0.770
K 0.250 0.227 0.230
Li 0.250 0.106 0.555
Li 0.750 0.894 0.445
Bi 0.250 0.683 0.167
Bi 0.750 0.317 0.833
Se 0.250 0.818 0.516
Se 0.750 0.907 0.179
Se 0.750 0.474 0.173
Se 0.750 0.182 0.484
Se 0.250 0.526 0.827
Se 0.250 0.093 0.821

## Properties
ρ (Mg/m³): 4.59
SG: P2_1/m
Formation energy without anion corrections (eV per atom): -0.7431

8.
KSr2Li2Bi2: relaxed, GGA-PBE.

a b c (Å): 5.196 5.196 11.001
angles (deg): 76.34 76.34 60.00
Sites, in units of the cell vectors:
K 0.000 0.000 0.000
Sr 0.130 0.130 0.609
Sr 0.870 0.870 0.391
Li 0.587 0.587 0.238
Li 0.413 0.413 0.762
Bi 0.749 0.749 0.753
Bi 0.251 0.251 0.247

## Properties
ρ (Mg/m³): 4.34
ΔE_f (eV/f.u.): -3.897
SG: R-3m

| no. | calculated volume (Å³/cell) | E_tot (eV per atom) |
| --- | --- | --- |
| 1 | 119.2 | -3.60 |
| 2 | 167.0 | -2.05 |
| 3 | 437.6 | -2.95 |
| 4 | 141.2 | -4.06 |
| 5 | 254.7 | -3.78 |
| 6 | 296.5 | -4.18 |
| 7 | 355.5 | -3.63 |
| 8 | 247.5 | -2.85 |